Entry from the Alexandria database: an optimized crystal structure of DyTaNbN3 (PBE-GGA).

Summary:
Electronic total energy = -0.7285 Ry per atom

a b c (Å): 5.5981 3.1644 8.3321
angles (deg): 90.00 102.71 90.00
Closest atoms and distances in Å follow each position.
Positions (direct):
Dy  0.1429  0.2500  0.1901  7 N 2.32-2.54
Dy  0.8571  0.7500  0.8099  7 N 2.32-2.54
Ta  0.2675  0.7500  0.5504  6 N 2.16-2.23
Ta  0.7325  0.2500  0.4496  6 N 2.16-2.23
Nb  0.3805  0.2500  0.8650  5 N 2.18-2.26
Nb  0.6195  0.7500  0.1350  5 N 2.18-2.26
N  0.0569  0.2500  0.6490  3 Ta 2.17-2.23, 1 Nb 2.26
N  0.2339  0.7500  0.9949  3 Nb 2.18-2.22, 3 Dy 2.32-2.40
N  0.4613  0.7500  0.3536  3 Ta 2.16-2.22, 1 Nb 2.19
N  0.5387  0.2500  0.6464  3 Ta 2.16-2.22, 1 Nb 2.19
N  0.7661  0.2500  0.0051  3 Nb 2.18-2.22, 3 Dy 2.32-2.40
N  0.9431  0.7500  0.3510  3 Ta 2.17-2.23, 1 Nb 2.26


Entry from the Alexandria database: an optimized crystal structure of Dy3TaNb3N8 (PBE-GGA).

Summary:
Electronic total energy = -0.6934 Ry per atom

a b c (Å): 6.3716 6.3716 6.6213
angles (deg): 118.77 118.77 59.90
Closest atoms and distances in Å follow each position.
Positions (direct):
Dy  0.0000  0.0000  0.0000  6 N 2.36-2.39
Dy  0.0000  0.5000  0.0000  6 N 2.36-2.39
Dy  0.5000  0.0000  0.0000  6 N 2.36-2.39
Ta  0.0000  0.0000  0.5000  6 N 2.14
Nb  0.0000  0.5000  0.5000  6 N 2.21-2.23
Nb  0.5000  0.0000  0.5000  6 N 2.21-2.23
Nb  0.5000  0.5000  0.5000  6 N 2.21-2.24
N  0.2336  0.2336  0.7159  1 Ta 2.14, 2 Nb 2.21, 2 Dy 2.39
N  0.2336  0.7495  0.7164  1 Ta 2.14, 2 Nb 2.21-2.22, 2 Dy 2.39
N  0.2505  0.7664  0.2836  1 Ta 2.14, 2 Nb 2.21-2.22, 2 Dy 2.39
N  0.2562  0.2562  0.2690  3 Nb 2.23-2.24, 3 Dy 2.36
N  0.7438  0.7438  0.7310  3 Nb 2.23-2.24, 3 Dy 2.36
N  0.7495  0.2336  0.7164  1 Ta 2.14, 2 Nb 2.21-2.22, 2 Dy 2.39
N  0.7664  0.2505  0.2836  1 Ta 2.14, 2 Nb 2.21-2.22, 2 Dy 2.39
N  0.7664  0.7664  0.2841  1 Ta 2.14, 2 Nb 2.21, 2 Dy 2.39


Entry from the Alexandria database: an optimized crystal structure of TbDy2NbN4 (PBE-GGA).

Summary:
Electronic total energy = -0.6357 Ry per atom

a b c (Å): 5.8414 3.3647 5.8461
angles (deg): 90.00 109.11 90.00
Closest atoms and distances in Å follow each position.
Positions (direct):
Tb  0.0000  0.0000  0.0000  6 N 2.39-2.40
Dy  0.5000  0.0000  0.5000  6 N 2.38
Dy  0.5000  0.5000  0.0000  6 N 2.47-2.50
Nb  0.0000  0.5000  0.5000  6 N 2.26-2.31
N  0.2342  0.0000  0.7330  2 Nb 2.31, 3 Dy 2.38-2.47, 1 Tb 2.39
N  0.2391  0.5000  0.2635  1 Nb 2.26, 3 Dy 2.38-2.50, 2 Tb 2.40
N  0.7609  0.5000  0.7365  1 Nb 2.26, 3 Dy 2.38-2.50, 2 Tb 2.40
N  0.7658  0.0000  0.2670  2 Nb 2.31, 3 Dy 2.38-2.47, 1 Tb 2.39


Entry from the Alexandria database: an optimized crystal structure of TbDyNbN3 (PBE-GGA).

Summary:
Electronic total energy = -0.6464 Ry per atom

a b c (Å): 5.7716 3.3455 8.6401
angles (deg): 90.00 102.90 90.00
Closest atoms and distances in Å follow each position.
Positions (direct):
Tb  0.1531  0.2500  0.1872  7 N 2.47-2.55
Tb  0.8469  0.7500  0.8128  7 N 2.47-2.55
Dy  0.2695  0.7500  0.5482  6 N 2.38-2.49
Dy  0.7305  0.2500  0.4518  6 N 2.38-2.49
Nb  0.3641  0.2500  0.8661  5 N 2.09-2.30
Nb  0.6359  0.7500  0.1339  5 N 2.09-2.30
N  0.0599  0.2500  0.6812  1 Nb 2.09
N  0.2498  0.7500  0.9873  3 Nb 2.15-2.30
N  0.4534  0.7500  0.3280  1 Nb 2.17, 3 Dy 2.38-2.39
N  0.5466  0.2500  0.6720  1 Nb 2.17, 3 Dy 2.38-2.39
N  0.7502  0.2500  0.0127  3 Nb 2.15-2.30
N  0.9401  0.7500  0.3188  1 Nb 2.09


Entry from the Alexandria database: an optimized crystal structure of Tb2DyNbN4 (PBE-GGA).

Summary:
Electronic total energy = -0.6355 Ry per atom

a b c (Å): 5.8501 3.3690 5.8553
angles (deg): 90.00 109.10 90.00
Closest atoms and distances in Å follow each position.
Positions (direct):
Tb  0.0000  0.0000  0.0000  6 N 2.48-2.51
Tb  0.5000  0.5000  0.0000  6 N 2.39-2.40
Dy  0.0000  0.5000  0.5000  6 N 2.38-2.39
Nb  0.5000  0.0000  0.5000  6 N 2.26-2.31
N  0.2617  0.0000  0.7358  1 Nb 2.26, 2 Dy 2.39, 3 Tb 2.40-2.51
N  0.2674  0.5000  0.2687  2 Nb 2.31, 1 Dy 2.38, 3 Tb 2.39-2.48
N  0.7326  0.5000  0.7313  2 Nb 2.31, 1 Dy 2.38, 3 Tb 2.39-2.48
N  0.7383  0.0000  0.2642  1 Nb 2.26, 2 Dy 2.39, 3 Tb 2.40-2.51


Entry from the Alexandria database: an optimized crystal structure of Dy2NbTcN5 (PBE-GGA).

Summary:
Electronic total energy = -0.6553 Ry per atom

a b c (Å): 6.8311 6.8311 10.2172
angles (deg): 90.00 90.00 152.33
Closest atoms and distances in Å follow each position.
Positions (direct):
Dy  0.1114  0.8886  0.5000  6 N 2.33-2.58
Dy  0.1434  0.8566  0.0931  7 N 2.39-2.68
Dy  0.8566  0.1434  0.5931  7 N 2.39-2.68
Dy  0.8886  0.1114  0.0000  6 N 2.33-2.58
Nb  0.2207  0.7793  0.8106  3 N 1.95-2.18
Nb  0.7793  0.2207  0.3106  3 N 1.95-2.18
Tc  0.4755  0.5245  0.2629  4 N 1.89-2.11
Tc  0.5245  0.4755  0.7629  4 N 1.89-2.11
N  0.0461  0.9539  0.8521  2 Tc 1.89
N  0.2830  0.7170  0.4514  2 Nb 2.18, 3 Dy 2.33-2.39
N  0.3187  0.6813  0.1724  2 Nb 2.22, 1 Tc 2.28, 1 Dy 2.46
N  0.3677  0.6323  0.8001  1 Nb 1.95, 1 Tc 2.11
N  0.4898  0.5102  0.5806  1 Tc 1.92
N  0.5102  0.4898  0.0806  1 Tc 1.92
N  0.6323  0.3677  0.3001  1 Nb 1.95, 1 Tc 2.11
N  0.6813  0.3187  0.6724  2 Nb 2.22, 1 Tc 2.28, 1 Dy 2.46
N  0.7170  0.2830  0.9514  2 Nb 2.18, 3 Dy 2.33-2.39
N  0.9539  0.0461  0.3521  2 Tc 1.89


Entry from the Alexandria database: an optimized crystal structure of Dy2TiNbN5 (PBE-GGA).

Summary:
Electronic total energy = -0.6626 Ry per atom

a b c (Å): 6.8350 6.8350 10.2515
angles (deg): 90.00 90.00 152.19
Closest atoms and distances in Å follow each position.
Positions (direct):
Dy  0.1041  0.8959  0.5000  6 N 2.33-2.57
Dy  0.1381  0.8619  0.0998  6 N 2.40-2.65
Dy  0.8619  0.1381  0.5998  6 N 2.40-2.65
Dy  0.8959  0.1041  0.0000  6 N 2.33-2.57
Ti  0.4734  0.5266  0.2740  4 N 1.90-2.09
Ti  0.5266  0.4734  0.7740  4 N 1.90-2.09
Nb  0.2209  0.7791  0.8200  6 N 2.01-2.24
Nb  0.7791  0.2209  0.3200  6 N 2.01-2.24
N  0.0558  0.9442  0.8641  2 Ti 1.92
N  0.2781  0.7219  0.4675  2 Nb 2.23, 3 Dy 2.33-2.40
N  0.3111  0.6889  0.1979  2 Nb 2.11, 1 Ti 2.29
N  0.3719  0.6281  0.8103  1 Nb 2.01, 1 Ti 2.09
N  0.4971  0.5029  0.5925  1 Ti 1.90
N  0.5029  0.4971  0.0925  1 Ti 1.90
N  0.6281  0.3719  0.3103  1 Nb 2.01, 1 Ti 2.09
N  0.6889  0.3111  0.6979  2 Nb 2.11, 1 Ti 2.29
N  0.7219  0.2781  0.9675  2 Nb 2.23, 3 Dy 2.33-2.40
N  0.9442  0.0558  0.3641  2 Ti 1.92


Entry from the Alexandria database: an optimized crystal structure of DyTm2NbN4 (PBE-GGA).

Summary:
Electronic total energy = -0.6386 Ry per atom

a b c (Å): 5.7738 3.3243 5.7811
angles (deg): 90.00 109.13 90.00
Closest atoms and distances in Å follow each position.
Positions (direct):
Dy  0.0000  0.0000  0.0000  6 N 2.37-2.38
Tm  0.5000  0.0000  0.5000  6 N 2.34
Tm  0.5000  0.5000  0.0000  6 N 2.41-2.44
Nb  0.0000  0.5000  0.5000  6 N 2.27-2.31
N  0.2404  0.0000  0.7368  2 Nb 2.31, 3 Tm 2.34-2.41, 1 Dy 2.37
N  0.2446  0.5000  0.2627  1 Nb 2.27, 3 Tm 2.34-2.44, 2 Dy 2.38
N  0.7554  0.5000  0.7373  1 Nb 2.27, 3 Tm 2.34-2.44, 2 Dy 2.38
N  0.7596  0.0000  0.2632  2 Nb 2.31, 3 Tm 2.34-2.41, 1 Dy 2.37